(1)
Compound: Ti3CI
Source: Alexandria
Functional: PBE-GGA
Structure: optimized geometry

Energy above the most stable polymorph in this dataset, meV per atom: 0
Magnetization, μB/f.u.: 1.562
Uncorrected formation energy, eV/atom: 0.020
ρ, Mg/m³: 5.9

a = 4.295 Å, b = 4.295 Å, c = 4.295 Å
α = 90.00°, β = 90.00°, γ = 90.00°
Space group Pm-3m (No. 221)
One atom of each set of equivalent atoms:
Ti1 0.000 0.000 0.500 [3 per cell]
C1 0.000 0.000 0.000 [1 per cell]
I1 0.500 0.500 0.500 [1 per cell]

=====

(2)
Compound: CrRe2Ru
Source: Alexandria
Functional: PBE-GGA
Structure: optimized geometry

Energy above the most stable polymorph in this dataset, meV per atom: 0
Formation energy, kJ/mol of formula units: 38
Magnetization, μB/f.u.: 0.007
ρ, Mg/m³: 15.5

a = 3.832 Å, b = 3.832 Å, c = 7.655 Å
α = 90.00°, β = 90.00°, γ = 90.00°
Space group I-4m2 (No. 119)
One atom of each set of equivalent atoms:
Cr1 0.000 0.000 0.000 [2 per cell]
Re1 0.000 0.000 0.500 [2 per cell]
Re2 0.000 0.500 0.750 [2 per cell]
Ru1 0.000 0.500 0.250 [2 per cell]

=====

(3)
Compound: Sc3TlSe
Source: Alexandria
Functional: PBE-GGA
Structure: optimized geometry

Energy above the most stable polymorph in this dataset, meV per atom: 177
Magnetization, μB/f.u.: 0.000
Uncorrected formation energy, eV/atom: -0.556
ρ, Mg/m³: 5.6

a = 4.990 Å, b = 4.990 Å, c = 4.990 Å
α = 90.00°, β = 90.00°, γ = 90.00°
Space group Pm-3m (No. 221)
One atom of each set of equivalent atoms:
Sc1 0.000 0.000 0.500 [3 per cell]
Tl1 0.500 0.500 0.500 [1 per cell]
Se1 0.000 0.000 0.000 [1 per cell]

=====

(4)
Compound: MnAg3Pt
Source: Alexandria
Functional: PBE-GGA
Structure: optimized geometry

Energy above the most stable polymorph in this dataset, meV per atom: 0
Formation energy, kJ/mol of formula units: 474
Magnetization, μB/f.u.: 4.872
ρ, Mg/m³: 7.3

a = 5.068 Å, b = 5.068 Å, c = 5.068 Å
α = 90.00°, β = 90.00°, γ = 90.00°
Space group Pm-3m (No. 221)
One atom of each set of equivalent atoms:
Mn1 0.000 0.000 0.000 [1 per cell]
Ag1 0.000 0.500 0.500 [3 per cell]
Pt1 0.500 0.500 0.500 [1 per cell]

=====

(5)
Compound: Mg2Ga2SnPd5
Source: Alexandria
Functional: PBE-GGA
Structure: optimized geometry

Formation energy, kJ/mol of formula units: -566
Magnetization, μB/f.u.: 0.000
ρ, Mg/m³: 8.2

a = 9.574 Å, b = 9.574 Å, c = 3.729 Å
α = 90.00°, β = 90.00°, γ = 90.00°
Space group P4/mbm (No. 127)
One atom of each set of equivalent atoms:
Mg1 0.172 0.328 0.000 [4 per cell]
Ga1 0.125 0.625 0.000 [4 per cell]
Sn1 0.000 0.000 0.000 [2 per cell]
Pd1 0.000 0.500 0.500 [2 per cell]
Pd2 0.079 0.798 0.500 [8 per cell]

=====

(6)
Compound: NbAlTe
Source: Alexandria
Functional: PBE-GGA
Structure: optimized geometry

Energy above the most stable polymorph in this dataset, meV per atom: 152
Magnetization, μB/f.u.: 0.000
Uncorrected formation energy, eV/atom: -0.056
ρ, Mg/m³: 6.0

a = 13.988 Å, b = 3.371 Å, c = 5.838 Å
α = 90.00°, β = 90.00°, γ = 90.00°
Space group Amm2 (No. 38)
One atom of each set of equivalent atoms:
Nb1 0.146 0.000 0.000 [4 per cell]
Al1 0.000 0.000 0.667 [2 per cell]
Al2 0.500 0.000 0.673 [2 per cell]
Te1 0.285 0.000 0.667 [4 per cell]

=====

(7)
Compound: ZrIrBr2
Source: Alexandria
Functional: PBE-GGA
Structure: optimized geometry

Energy above the most stable polymorph in this dataset, meV per atom: 1133
Magnetization, μB/f.u.: 0.001
Uncorrected formation energy, eV/atom: 0.593
ρ, Mg/m³: 7.2

a = 6.138 Å, b = 6.138 Å, c = 10.847 Å
α = 90.00°, β = 90.00°, γ = 90.00°
Space group I-42d (No. 122)
One atom of each set of equivalent atoms:
Zr1 0.000 0.000 0.000 [4 per cell]
Ir1 0.000 0.000 0.500 [4 per cell]
Br1 0.229 0.250 0.625 [8 per cell]

=====

(8)
Compound: Ba3PmPa2O9
Source: Alexandria
Functional: PBE-GGA
Structure: optimized geometry

Magnetization, μB/f.u.: 1.004
Uncorrected formation energy, eV/atom: -3.225
ρ, Mg/m³: 7.1

a = 6.3687 Å, b = 6.3687 Å, c = 7.7984 Å
α = 90.00°, β = 90.00°, γ = 120.00°
Space group P-3m1 (No. 164)
One atom of each set of equivalent atoms:
Ba1 0.0000 0.0000 0.0000 [1 per cell]
Ba2 0.3333 0.6667 0.6539 [2 per cell]
Pm1 0.0000 0.0000 0.5000 [1 per cell]
Pa1 0.3333 0.6667 0.1658 [2 per cell]
O1 0.0000 0.5000 0.0000 [3 per cell]
O2 0.1720 0.3440 0.3286 [6 per cell]

=====

(9)
Compound: MgMo2Br
Source: Alexandria
Functional: PBE-GGA
Structure: optimized geometry

Energy above the most stable polymorph in this dataset, meV per atom: 411
Magnetization, μB/f.u.: 0.000
Uncorrected formation energy, eV/atom: 0.539
ρ, Mg/m³: 5.6

a = 11.109 Å, b = 3.193 Å, c = 5.082 Å
α = 90.00°, β = 102.08°, γ = 90.00°
Space group Cm (No. 8)
One atom of each set of equivalent atoms:
Mg1 0.000 0.000 0.000 [2 per cell]
Mo1 0.026 0.500 0.498 [2 per cell]
Mo2 0.362 0.500 0.443 [2 per cell]
Br1 0.233 0.000 0.761 [2 per cell]

=====

(10)
Compound: AsHIrOsAu
Source: Alexandria
Functional: PBE-GGA
Structure: optimized geometry

Energy above the most stable polymorph in this dataset, meV per atom: 14
Magnetization, μB/f.u.: 0.000
ρ, Mg/m³: 15.6

a = 2.947 Å, b = 5.217 Å, c = 5.392 Å
α = 117.53°, β = 90.13°, γ = 106.39°
Space group P1 (No. 1)
One atom of each set of equivalent atoms:
As1 0.000 0.000 0.000 [1 per cell]
H1 0.338 0.672 0.459 [1 per cell]
Ir1 0.965 0.927 0.509 [1 per cell]
Os1 0.661 0.321 0.388 [1 per cell]
Au1 0.735 0.476 0.941 [1 per cell]

=====

(11)
Compound: GeSb2HO
Source: Alexandria
Functional: PBE-GGA
Structure: optimized geometry

Magnetization, μB/f.u.: 0.000
Calculated total energy, eV per formula unit: -18.8
ρ, Mg/m³: 5.9

a = 5.383 Å, b = 5.383 Å, c = 3.255 Å
α = 90.00°, β = 90.00°, γ = 90.00°
Space group P4/mmm (No. 123)
One atom of each set of equivalent atoms:
Ge1 0.000 0.000 0.000 [1 per cell]
Sb1 0.000 0.500 0.000 [2 per cell]
H1 0.000 0.000 0.500 [1 per cell]
O1 0.500 0.500 0.500 [1 per cell]

=====

(12)
Compound: BeAsN2O
Source: Alexandria
Functional: PBE-GGA
Structure: optimized geometry

Magnetization, μB/f.u.: 0.554
Uncorrected formation energy, eV/atom: 0.801
ρ, Mg/m³: 4.5

a = 3.266 Å, b = 3.266 Å, c = 4.466 Å
α = 90.00°, β = 90.00°, γ = 90.00°
Space group P4/mmm (No. 123)
One atom of each set of equivalent atoms:
Be1 0.000 0.000 0.000 [1 per cell]
As1 0.500 0.500 0.500 [1 per cell]
N1 0.000 0.500 0.000 [2 per cell]
O1 0.000 0.000 0.500 [1 per cell]